First-principles (PBE+U) data for a relaxed PmCoC2O8 crystal, as listed in the Alexandria database.

CIF file:
```
data_PmCoC2O8
_cell_length_a 4.7247
_cell_length_b 4.7247
_cell_length_c 6.7146
_cell_angle_alpha 90.00
_cell_angle_beta 90.00
_cell_angle_gamma 120.00
_space_group_name_H-M_alt 'P -3 m 1'
_space_group_IT_number 164
_space_group_name_Hall '-P 3 2"'
loop_
_atom_site_label
_atom_site_fract_x
_atom_site_fract_y
_atom_site_fract_z
_atom_site_occupancy
Pm1 0.0000 0.0000 0.0000 1
Co1 0.0000 0.0000 0.5000 1
C1 0.3333 0.6667 0.2525 1
O1 0.1707 0.3415 0.3079 1
O2 0.3333 0.6667 0.0454 1
```

Values from the calculation:
* total energy: -83.2 eV for the cell shown